(1)
# Ca2ScAg PBE optimized geometry
# distance to the lowest polymorph of the same formula	209	meV per atom
data_Ca2ScAg
_symmetry_space_group_name_H-M 'I 4/m m m'
_symmetry_Int_Tables_number 139
_symmetry_space_group_name_Hall '-I 4 2'
_cell_length_a 4.702
_cell_length_b 4.702
_cell_length_c 10.137
_cell_angle_alpha 90.00
_cell_angle_beta 90.00
_cell_angle_gamma 90.00
loop_
_atom_site_label
_atom_site_type_symbol
_atom_site_fract_x
_atom_site_fract_y
_atom_site_fract_z
Ca1 Ca 0.000 0.500 0.250
Sc1 Sc 0.000 0.000 0.000
Ag1 Ag 0.000 0.000 0.500


(2)
# Ca2ScAg PBE optimized geometry
# distance to the lowest polymorph of the same formula	0	meV per atom
data_Ca2ScAg
_symmetry_space_group_name_H-M 'P 4 m m'
_symmetry_Int_Tables_number 99
_cell_length_a 3.601
_cell_length_b 3.601
_cell_length_c 9.198
_cell_angle_alpha 90.00
_cell_angle_beta 90.00
_cell_angle_gamma 90.00
loop_
_symmetry_equiv_pos_as_xyz
'x,y,z'
'-y,x,z'
'-x,-y,z'
'y,-x,z'
'-x,y,z'
'y,x,z'
'x,-y,z'
'-y,-x,z'
loop_
_atom_site_label
_atom_site_type_symbol
_atom_site_fract_x
_atom_site_fract_y
_atom_site_fract_z
Ca1 Ca 0.000 0.000 0.000
Ca2 Ca 0.500 0.500 0.342
Sc1 Sc 0.000 0.000 0.625
Ag1 Ag 0.500 0.500 0.776


(3)
The following is a PBE calculation of a geometry-optimized Ca5ScAg6 structure, from the Alexandria database.

```
data_Ca5ScAg6
_symmetry_space_group_name_H-M 'C m m m'
_symmetry_Int_Tables_number 65
_symmetry_space_group_name_Hall '-C 2 2'
_cell_length_a 5.143
_cell_length_b 15.589
_cell_length_c 7.348
_cell_angle_alpha 90.00
_cell_angle_beta 90.00
_cell_angle_gamma 90.00
loop_
_atom_site_label
_atom_site_type_symbol
_atom_site_fract_x
_atom_site_fract_y
_atom_site_fract_z
Ca1 Ca 0.000 0.000 0.000
Ca2 Ca 0.000 0.332 0.500
Ca3 Ca 0.000 0.333 0.000
Sc1 Sc 0.000 0.000 0.500
Ag1 Ag 0.000 0.156 0.262
Ag2 Ag 0.000 0.500 0.277
```


| no. | DOS at the Fermi energy (states/eV/cell) | spin magnetization (μB per cell) | total DFT energy (no corrections) (eV/atom) |
| --- | --- | --- | --- |
| 1 | 12.56 | 0.01 | -3.159 |
| 2 | 4.37 | 0.00 | -3.369 |
| 3 | 19.39 | 0.00 | -3.076 |